Below is a geometry-optimized La2Ga2Se structure, with properties calculated at the PBE level.

Cell: 8.1691 8.1691 4.4694 Å, 90.00 90.00 90.00°
Last column: nearest neighbours and their distance in Å.
Space group P4/mbm (No. 127)
Inequivalent atoms, fractional coordinates:
1 La 0.1858 0.3142 0.0000 [4 per cell]  2 Se 2.98, 2 Ga 3.26
2 Ga 0.1082 0.6082 0.5000 [4 per cell]  1 Ga 2.50
3 Se 0.0000 0.0000 0.0000 [2 per cell]  4 La 2.98

Computed properties:
excess energy over the best structure of this formula in the dataset	0.458	eV/atom
uncorrected formation energy	-801	meV/atom
electronic total energy	-4.68	eV/atom
magnetic moment	0.00	μB per formula unit